(1)
# PBE AuNF3, optimized geometry
# ΔE_f (raw) ... 0.57 eV per atom
# M_tot ... 0.200 μB per atom
# Volume ... 59 Å³ per cell
# Total energy ... -2.87 eV/atom
# Offset from the most stable computed form ... 252.9 meV per atom
data_AuNF3
_chemical_formula_sum 'Au1 N1 F3'
_cell_length_a 3.899
_cell_length_b 3.899
_cell_length_c 3.899
_cell_angle_alpha 90.00
_cell_angle_beta 90.00
_cell_angle_gamma 90.00
_space_group_name_H-M_alt 'P m -3 m'
_space_group_IT_number 221
_space_group_name_Hall '-P 4 2 3'
loop_
_atom_site_label
_atom_site_type_symbol
_atom_site_fract_x
_atom_site_fract_y
_atom_site_fract_z
_atom_site_occupancy
Au1 Au 0.000 0.000 0.000 1
N1 N 0.500 0.500 0.500 1
F1 F 0.000 0.500 0.500 1

(2)
# PBE Ta3Nb7Re, optimized geometry
# M_tot ... 0.000 μB per atom
# Volume ... 212 Å³ per cell
# Formation energy ... 0.437 eV/atom
# Total energy ... -10.33 eV/atom
data_Ta3Nb7Re
_chemical_formula_sum 'Ta3 Nb7 Re1'
_cell_length_a 6.0979
_cell_length_b 6.0979
_cell_length_c 6.5918
_cell_angle_alpha 90.00
_cell_angle_beta 90.00
_cell_angle_gamma 120.00
_space_group_name_H-M_alt 'P 3 m 1'
_space_group_IT_number 156
_space_group_name_Hall 'P 3 -2"'
loop_
_atom_site_label
_atom_site_type_symbol
_atom_site_fract_x
_atom_site_fract_y
_atom_site_fract_z
_atom_site_occupancy
Ta1 Ta 0.0026 0.5013 0.0000 1
Nb1 Nb 0.1658 0.3317 0.3356 1
Nb2 Nb 0.3256 0.1628 0.6793 1
Nb3 Nb 0.6667 0.3333 0.3370 1
Re1 Re 0.3333 0.6667 0.6837 1

(3)
# PBE Y6MgIn5, optimized geometry
# M_tot ... 0.000 μB per atom
# Volume ... 640 Å³ per cell
# Formation energy ... -0.459 eV/atom
# Total energy ... -4.97 eV/atom
data_Y6MgIn5
_chemical_formula_sum 'Y12 Mg2 In10'
_cell_length_a 5.336
_cell_length_b 16.059
_cell_length_c 7.466
_cell_angle_alpha 90.00
_cell_angle_beta 90.00
_cell_angle_gamma 90.00
_space_group_name_H-M_alt 'C m m m'
_space_group_IT_number 65
_space_group_name_Hall '-C 2 2'
loop_
_atom_site_label
_atom_site_type_symbol
_atom_site_fract_x
_atom_site_fract_y
_atom_site_fract_z
_atom_site_occupancy
Y1 Y 0.000 0.000 0.246 1
Y2 Y 0.000 0.331 0.251 1
Mg1 Mg 0.000 0.500 0.500 1
In1 In 0.000 0.160 0.500 1
In2 In 0.000 0.166 0.000 1
In3 In 0.000 0.500 0.000 1

(4)
# PBE InSnAs2, optimized geometry
# M_tot ... 0.000 μB per atom
# Volume ... 293 Å³ per cell
# Formation energy ... 0.003 eV/atom
# Total energy ... -4.01 eV/atom
# Offset from the most stable computed form ... 62.1 meV per atom
data_InSnAs2
_chemical_formula_sum 'In3 Sn3 As6'
_cell_length_a 3.9888
_cell_length_b 3.9888
_cell_length_c 21.2520
_cell_angle_alpha 90.00
_cell_angle_beta 90.00
_cell_angle_gamma 120.00
_space_group_name_H-M_alt 'R 3 m'
_space_group_IT_number 160
_space_group_name_Hall 'R 3 -2"'
loop_
_atom_site_label
_atom_site_type_symbol
_atom_site_fract_x
_atom_site_fract_y
_atom_site_fract_z
_atom_site_occupancy
In1 In 0.0000 0.0000 0.0000 1
Sn1 Sn 0.0000 0.0000 0.8311 1
As1 As 0.0000 0.0000 0.2471 1
As2 As 0.0000 0.0000 0.4173 1

(5)
# PBE CeGe5, optimized geometry
# M_tot ... 0.000 μB per atom
# Volume ... 243 Å³ per cell
# Formation energy ... -0.298 eV/atom
# Total energy ... -5.14 eV/atom
# Offset from the most stable computed form ... 0.0 meV per atom
data_CeGe5
_chemical_formula_sum 'Ce2 Ge10'
_cell_length_a 4.017
_cell_length_b 6.154
_cell_length_c 9.836
_cell_angle_alpha 90.00
_cell_angle_beta 90.00
_cell_angle_gamma 90.00
_space_group_name_H-M_alt 'I m m m'
_space_group_IT_number 71
_space_group_name_Hall '-I 2 2'
loop_
_atom_site_label
_atom_site_type_symbol
_atom_site_fract_x
_atom_site_fract_y
_atom_site_fract_z
_atom_site_occupancy
Ce1 Ce 0.000 0.000 0.000 1
Ge1 Ge 0.000 0.208 0.331 1
Ge2 Ge 0.000 0.500 0.000 1

(6)
# PBE DyYIr4, optimized geometry
# M_tot ... 0.000 μB per atom
# Volume ... 436 Å³ per cell
# Formation energy ... -0.805 eV/atom
# Total energy ... -8.56 eV/atom
data_DyYIr4
_chemical_formula_sum 'Dy4 Y4 Ir16'
_cell_length_a 7.584
_cell_length_b 7.584
_cell_length_c 7.584
_cell_angle_alpha 90.00
_cell_angle_beta 90.00
_cell_angle_gamma 90.00
_space_group_name_H-M_alt 'F -4 3 m'
_space_group_IT_number 216
_space_group_name_Hall 'F -4 2 3'
loop_
_atom_site_label
_atom_site_type_symbol
_atom_site_fract_x
_atom_site_fract_y
_atom_site_fract_z
_atom_site_occupancy
Dy1 Dy 0.000 0.000 0.000 1
Y1 Y 0.250 0.250 0.750 1
Ir1 Ir 0.125 0.125 0.375 1

(7)
# PBE Ru2PtW2, optimized geometry
# M_tot ... 0.000 μB per atom
# Volume ... 155 Å³ per cell
# Formation energy ... 0.099 eV/atom
# Total energy ... -10.00 eV/atom
# Offset from the most stable computed form ... 30.1 meV per atom
data_Ru2PtW2
_chemical_formula_sum 'Ru4 Pt2 W4'
_cell_length_a 2.764
_cell_length_b 19.988
_cell_length_c 2.810
_cell_angle_alpha 90.00
_cell_angle_beta 90.00
_cell_angle_gamma 90.00
_space_group_name_H-M_alt 'C m m m'
_space_group_IT_number 65
_space_group_name_Hall '-C 2 2'
loop_
_atom_site_label
_atom_site_type_symbol
_atom_site_fract_x
_atom_site_fract_y
_atom_site_fract_z
_atom_site_occupancy
Ru1 Ru 0.000 0.194 0.000 1
Pt1 Pt 0.000 0.000 0.000 1
W1 W 0.000 0.397 0.500 1

(8)
# PBE CrSn2RuPb, optimized geometry
# M_tot ... 0.767 μB per atom
# Volume ... 127 Å³ per cell
# Formation energy ... 1.001 eV/atom
# Total energy ... -5.12 eV/atom
data_CrSn2RuPb
_chemical_formula_sum 'Cr1 Sn2 Ru1 Pb1'
_cell_length_a 4.992
_cell_length_b 4.992
_cell_length_c 5.100
_cell_angle_alpha 90.00
_cell_angle_beta 90.00
_cell_angle_gamma 90.00
_space_group_name_H-M_alt 'P 4/m m m'
_space_group_IT_number 123
_space_group_name_Hall '-P 4 2'
loop_
_atom_site_label
_atom_site_type_symbol
_atom_site_fract_x
_atom_site_fract_y
_atom_site_fract_z
_atom_site_occupancy
Cr1 Cr 0.000 0.000 0.000 1
Sn1 Sn 0.000 0.500 0.000 1
Ru1 Ru 0.500 0.500 0.500 1
Pb1 Pb 0.000 0.000 0.500 1

(9)
# PBE RbTlTeAsCl, optimized geometry
# ΔE_f (raw) ... -0.65 eV per atom
# M_tot ... 0.000 μB per atom
# Volume ... 195 Å³ per cell
# Total energy ... -3.24 eV/atom
# Offset from the most stable computed form ... 55.2 meV per atom
data_RbTlTeAsCl
_chemical_formula_sum 'Rb1 Tl1 Te1 As1 Cl1'
_cell_length_a 4.791
_cell_length_b 4.807
_cell_length_c 9.715
_cell_angle_alpha 90.01
_cell_angle_beta 90.19
_cell_angle_gamma 119.56
_space_group_name_H-M_alt 'P 1'
_space_group_IT_number 1
_space_group_name_Hall 'P 1'
loop_
_atom_site_label
_atom_site_type_symbol
_atom_site_fract_x
_atom_site_fract_y
_atom_site_fract_z
_atom_site_occupancy
Rb1 Rb 0.000 0.000 0.000 1
Tl1 Tl 0.664 0.328 0.627 1
Te1 Te 0.995 0.990 0.376 1
As1 As 0.662 0.324 0.304 1
Cl1 Cl 0.332 0.664 0.829 1

(10)
# PBE ZrReAgSb2, optimized geometry
# ΔE_f (raw) ... 1.60 eV per atom
# M_tot ... 0.991 μB per atom
# Volume ... 159 Å³ per cell
# Total energy ... -4.82 eV/atom
data_ZrReAgSb2
_chemical_formula_sum 'Zr1 Re1 Ag1 Sb2'
_cell_length_a 5.460
_cell_length_b 5.460
_cell_length_c 5.319
_cell_angle_alpha 90.00
_cell_angle_beta 90.00
_cell_angle_gamma 90.00
_space_group_name_H-M_alt 'P 4/m m m'
_space_group_IT_number 123
_space_group_name_Hall '-P 4 2'
loop_
_atom_site_label
_atom_site_type_symbol
_atom_site_fract_x
_atom_site_fract_y
_atom_site_fract_z
_atom_site_occupancy
Zr1 Zr 0.000 0.000 0.000 1
Re1 Re 0.500 0.500 0.500 1
Ag1 Ag 0.000 0.000 0.500 1
Sb1 Sb 0.000 0.500 0.000 1

(11)
# PBE TlBiPd6, optimized geometry
# M_tot ... 0.000 μB per atom
# Volume ... 139 Å³ per cell
# Formation energy ... -0.253 eV/atom
# Total energy ... -4.93 eV/atom
# Offset from the most stable computed form ... 0.0 meV per atom
data_TlBiPd6
_chemical_formula_sum 'Tl1 Bi1 Pd6'
_cell_length_a 4.105
_cell_length_b 4.105
_cell_length_c 8.228
_cell_angle_alpha 90.00
_cell_angle_beta 90.00
_cell_angle_gamma 90.00
_space_group_name_H-M_alt 'P 4/m m m'
_space_group_IT_number 123
_space_group_name_Hall '-P 4 2'
loop_
_atom_site_label
_atom_site_type_symbol
_atom_site_fract_x
_atom_site_fract_y
_atom_site_fract_z
_atom_site_occupancy
Tl1 Tl 0.000 0.000 0.000 1
Bi1 Bi 0.000 0.000 0.500 1
Pd1 Pd 0.000 0.500 0.250 1
Pd2 Pd 0.500 0.500 0.000 1
Pd3 Pd 0.500 0.500 0.500 1

(12)
# PBE Fe2AgAu, optimized geometry
# M_tot ... 1.415 μB per atom
# Volume ... 121 Å³ per cell
# Formation energy ... 0.240 eV/atom
# Total energy ... -5.52 eV/atom
data_Fe2AgAu
_chemical_formula_sum 'Fe4 Ag2 Au2'
_cell_length_a 9.337
_cell_length_b 2.854
_cell_length_c 4.748
_cell_angle_alpha 90.00
_cell_angle_beta 106.69
_cell_angle_gamma 90.00
_space_group_name_H-M_alt 'C 1 m 1'
_space_group_IT_number 8
_space_group_name_Hall 'C -2y'
loop_
_atom_site_label
_atom_site_type_symbol
_atom_site_fract_x
_atom_site_fract_y
_atom_site_fract_z
_atom_site_occupancy
Fe1 Fe 0.000 0.000 0.000 1
Fe2 Fe 0.208 0.500 0.241 1
Ag1 Ag 0.470 0.000 0.476 1
Au1 Au 0.244 0.000 0.771 1